Density functional theory data (PBE) for a relaxed structure of Dy7Hg3.

Calculated values
DFT total energy   -3.556 eV per atom
Spin magnetization   0.00 μB per atom
DFT formation energy   -0.244 eV/atom

Cell lengths 10.1384, 10.1384, 6.5813 Å; angles 90.00, 90.00, 120.00 degrees
Fractional positions:
Dy 0.0636 0.5318 0.0000
Dy 0.1287 0.2574 0.7282
Dy 0.1287 0.8713 0.7282
Dy 0.2574 0.1287 0.2282
Dy 0.3333 0.6667 0.5771
Dy 0.4682 0.5318 0.0000
Dy 0.4682 0.9364 0.0000
Dy 0.5318 0.0636 0.5000
Dy 0.5318 0.4682 0.5000
Dy 0.6667 0.3333 0.0771
Dy 0.7426 0.8713 0.7282
Dy 0.8713 0.1287 0.2282
Dy 0.8713 0.7426 0.2282
Dy 0.9364 0.4682 0.5000
Hg 0.1975 0.3949 0.2867
Hg 0.1975 0.8025 0.2867
Hg 0.3949 0.1975 0.7867
Hg 0.6051 0.8025 0.2867
Hg 0.8025 0.1975 0.7867
Hg 0.8025 0.6051 0.7867

***

Density functional theory data (PBE) for a relaxed structure of Dy4Hg3.

Calculated values
DFT total energy   -2.921 eV per atom
Spin magnetization   0.11 μB per atom
E above lowest polymorph   0.155 eV per atom
DFT formation energy   -0.162 eV/atom

Cell lengths 10.1508, 10.1508, 10.1508 Å; angles 28.45, 28.45, 28.45 degrees
Fractional positions:
Dy 0.1216 0.1216 0.1216
Dy 0.2964 0.2964 0.2964
Dy 0.7036 0.7036 0.7036
Dy 0.8784 0.8784 0.8784
Hg 0.3996 0.3996 0.3996
Hg 0.5000 0.5000 0.5000
Hg 0.6004 0.6004 0.6004

***

Density functional theory data (PBE) for a relaxed structure of Dy4Hg3.

Calculated values
DFT total energy   -3.076 eV per atom
Spin magnetization   0.00 μB per atom
E above lowest polymorph   0.000 eV per atom
DFT formation energy   -0.317 eV/atom

Cell lengths 8.9429, 8.9429, 8.9429 Å; angles 33.73, 33.73, 33.73 degrees
Fractional positions:
Dy 0.1208 0.1208 0.1208
Dy 0.3725 0.3725 0.3725
Dy 0.6275 0.6275 0.6275
Dy 0.8792 0.8792 0.8792
Hg 0.2516 0.2516 0.2516
Hg 0.5000 0.5000 0.5000
Hg 0.7484 0.7484 0.7484

***

Density functional theory data (PBE) for a relaxed structure of Dy5Hg6.

Calculated values
DFT total energy   -2.646 eV per atom
Spin magnetization   0.00 μB per atom
DFT formation energy   -0.390 eV/atom

Cell lengths 9.0376, 9.0376, 9.0376 Å; angles 146.85, 131.42, 60.08 degrees
Fractional positions:
Dy 0.0000 0.0000 0.0000
Dy 0.1711 0.6711 0.5000
Dy 0.3477 0.3477 0.0000
Dy 0.6523 0.6523 0.0000
Dy 0.8289 0.3289 0.5000
Hg 0.0847 0.8340 0.2508
Hg 0.2381 0.5000 0.7381
Hg 0.4168 0.1660 0.2508
Hg 0.5832 0.8340 0.7492
Hg 0.7619 0.5000 0.2619
Hg 0.9153 0.1660 0.7492

***

Density functional theory data (PBE) for a relaxed structure of Dy5Hg3.

Calculated values
DFT total energy   -3.330 eV per atom
Spin magnetization   0.00 μB per atom
DFT formation energy   -0.340 eV/atom

Cell lengths 8.6649, 8.6649, 8.6649 Å; angles 122.61, 122.61, 85.54 degrees
Fractional positions:
Dy 0.0000 0.0000 0.0000
Dy 0.0025 0.5025 0.8069
Dy 0.1956 0.0025 0.5000
Dy 0.3044 0.8044 0.8069
Dy 0.4975 0.3044 0.5000
Dy 0.5000 0.5000 0.0000
Dy 0.5025 0.6956 0.5000
Dy 0.6956 0.1956 0.1931
Dy 0.8044 0.9975 0.5000
Dy 0.9975 0.4975 0.1931
Hg 0.1405 0.3595 0.5000
Hg 0.2500 0.2500 0.0000
Hg 0.3595 0.8595 0.2189
Hg 0.6405 0.1405 0.7811
Hg 0.7500 0.7500 0.0000
Hg 0.8595 0.6405 0.5000

***

Density functional theory data (PBE) for a relaxed structure of DyHg7.

Calculated values
DFT total energy   -0.949 eV per atom
Spin magnetization   0.00 μB per atom
E above lowest polymorph   0.030 eV per atom
DFT formation energy   -0.109 eV/atom

Cell lengths 6.6214, 6.6214, 6.6214 Å; angles 60.00, 60.00, 60.00 degrees
Fractional positions:
Dy 0.0000 0.0000 0.0000
Hg 0.0000 0.0000 0.5000
Hg 0.0000 0.5000 0.0000
Hg 0.0000 0.5000 0.5000
Hg 0.5000 0.0000 0.0000
Hg 0.5000 0.0000 0.5000
Hg 0.5000 0.5000 0.0000
Hg 0.5000 0.5000 0.5000

***

Density functional theory data (PBE) for a relaxed structure of DyHg2.

Calculated values
DFT total energy   -2.119 eV per atom
Spin magnetization   0.00 μB per atom
DFT formation energy   -0.383 eV/atom

Cell lengths 4.9609, 4.9609, 3.4245 Å; angles 90.00, 90.00, 120.00 degrees
Fractional positions:
Dy 0.0000 0.0000 0.0000
Hg 0.3333 0.6667 0.5000
Hg 0.6667 0.3333 0.5000

***

Density functional theory data (PBE) for a relaxed structure of Dy5Hg7.

Calculated values
DFT total energy   -2.465 eV per atom
Spin magnetization   0.00 μB per atom
DFT formation energy   -0.372 eV/atom

Cell lengths 5.0749, 5.0749, 14.4974 Å; angles 100.23, 100.23, 59.81 degrees
Fractional positions:
Dy 0.0000 0.0000 0.0000
Dy 0.1417 0.1417 0.4254
Dy 0.3985 0.3985 0.1945
Dy 0.6015 0.6015 0.8055
Dy 0.8583 0.8583 0.5746
Hg 0.0727 0.0727 0.2149
Hg 0.2216 0.2216 0.6678
Hg 0.3060 0.3060 0.9207
Hg 0.5000 0.5000 0.5000
Hg 0.6940 0.6940 0.0793
Hg 0.7784 0.7784 0.3322
Hg 0.9273 0.9273 0.7851

***

Q: What is the DFT total energy in the seventh record?
A: -2.119 eV per atom

***

Q: Among the records above, which one has the highest DFT formation energy?
A: DyHg7

***

Q: Number 8 is which compound?
A: Dy5Hg7